Density functional theory data (GGA-PBE) for an optimized crystal structure of SbTe2RhSe.

The calculation puts the excess energy over the best structure of this formula in the dataset at 0 meV/atom. For the uncorrected formation energy, the calculation gives 0.3940 eV/atom. The total energy is -3.85 eV per atom. The total magnetic moment is 0.00 μB per cell. Its theoretical density is 6.666 g/cm³.

The structure belongs to space group P4/mmm (No. 123); the cell edges are 5.233, 5.233 and 5.084 Å and the angles 90.00°, 90.00° and 90.00°. Symmetry generates all atoms from Sb at (0.000, 0.000, 0.000), Te at (0.000, 0.500, 0.500), Rh at (0.000, 0.000, 0.500) and Se at (0.500, 0.500, 0.000).